DFT (GGA-PBE) results for a relaxed structure of Cu2HgH.

**Energy above the most stable polymorph in this dataset**: 49.2 kJ/mol of atoms

Cell: 6.072 6.072 6.072 Å, 90.00 90.00 90.00°
Space group Fm-3m (No. 225)
Symmetry-distinct sites (fractional):
1 Cu 0.250 0.250 0.250 x8
2 Hg 0.000 0.000 0.000 x4
3 H 0.000 0.000 0.500 x4